KAl4Pt | the Alexandria database | PBE | relaxed; space group = I4/mcm (140); final energy = -3.94 eV per atom; DOS(E_F) = 0.508 states/eV/atom; excess energy over the best structure of this formula in the dataset = 0 meV per atom; energy of formation = -147 kJ/mol of formula units
1.0
-3.060 3.060 8.015
3.060 -3.060 8.015
3.060 3.060 -8.015
K Al Pt
2 8 2
direct
0.000 0.000 0.000 K
0.500 0.500 0.000 K
0.029 0.529 0.198 Al
0.169 0.971 0.500 Al
0.331 0.831 0.802 Al
0.471 0.669 0.500 Al
0.529 0.331 0.500 Al
0.669 0.169 0.198 Al
0.831 0.029 0.500 Al
0.971 0.471 0.802 Al
0.250 0.250 0.000 Pt
0.750 0.750 0.000 Pt

TaAsO5 | the Alexandria database | PBE | relaxed; E_form (uncorrected) = -1792 meV/atom; space group = P2_12_12_1 (19); final energy = -7.69 eV per atom; DOS(E_F) = 0.000 states/eV/atom; excess energy over the best structure of this formula in the dataset = 236 meV per atom
1.0
6.300 0.000 0.000
0.000 7.929 0.000
0.000 0.000 8.224
Ta As O
4 4 20
direct
0.250 0.226 0.009 Ta
0.250 0.774 0.509 Ta
0.750 0.274 0.991 Ta
0.750 0.726 0.491 Ta
0.009 0.636 0.843 As
0.491 0.364 0.343 As
0.509 0.864 0.157 As
0.991 0.136 0.657 As
0.001 0.919 0.575 O
0.002 0.276 0.512 O
0.018 0.638 0.420 O
0.206 0.126 0.792 O
0.228 0.642 0.715 O
0.272 0.358 0.215 O
0.294 0.874 0.292 O
0.482 0.362 0.920 O
0.498 0.724 0.012 O
0.499 0.081 0.075 O
0.501 0.581 0.425 O
0.502 0.224 0.488 O
0.518 0.862 0.580 O
0.706 0.374 0.208 O
0.728 0.858 0.285 O
0.772 0.142 0.785 O
0.794 0.626 0.708 O
0.982 0.138 0.080 O
0.998 0.776 0.988 O
0.999 0.419 0.925 O

BaAc3Nd | the Alexandria database | PBE | relaxed; space group = P2_1/m (11); final energy = -3.70 eV per atom; DOS(E_F) = 1.874 states/eV/atom; energy of formation = 47 kJ/mol of formula units
1.0
8.877 0.000 0.000
0.000 5.674 0.000
-0.039 0.000 8.925
Ba Ac Nd
2 6 2
direct
0.247 0.250 0.257 Ba
0.753 0.750 0.743 Ba
0.149 0.750 0.946 Ac
0.338 0.750 0.556 Ac
0.439 0.250 0.847 Ac
0.561 0.750 0.153 Ac
0.662 0.250 0.444 Ac
0.851 0.250 0.054 Ac
0.054 0.250 0.652 Nd
0.946 0.750 0.348 Nd

SrPuPd4 | the Alexandria database | PBE | relaxed; space group = F-43m (216); final energy = -6.65 eV per atom; DOS(E_F) = 3.436 states/eV/atom; energy of formation = -298 kJ/mol of formula units
1.0
0.000 3.916 3.916
3.916 0.000 3.916
3.916 3.916 0.000
Sr Pu Pd
1 1 4
direct
0.000 0.000 0.000 Sr
0.250 0.250 0.250 Pu
0.126 0.625 0.625 Pd
0.625 0.126 0.625 Pd
0.625 0.625 0.126 Pd
0.625 0.625 0.625 Pd

Sb3TeSe3 | the Alexandria database | PBE | relaxed; E_form (uncorrected) = -161 meV/atom; space group = I-43m (217); final energy = -3.87 eV per atom; DOS(E_F) = 0.281 states/eV/atom
1.0
-5.940 5.940 5.940
5.940 -5.940 5.940
5.940 5.940 -5.940
Sb Te Se
12 4 12
direct
0.000 0.510 0.759 Sb
0.000 0.759 0.510 Sb
0.241 0.241 0.752 Sb
0.241 0.752 0.241 Sb
0.248 0.490 0.490 Sb
0.490 0.248 0.490 Sb
0.490 0.490 0.248 Sb
0.510 0.000 0.759 Sb
0.510 0.759 0.000 Sb
0.752 0.241 0.241 Sb
0.759 0.000 0.510 Sb
0.759 0.510 0.000 Sb
0.000 0.000 0.767 Te
0.000 0.767 0.000 Te
0.233 0.233 0.233 Te
0.767 0.000 0.000 Te
0.000 0.242 0.516 Se
0.000 0.516 0.242 Se
0.242 0.000 0.516 Se
0.242 0.516 0.000 Se
0.274 0.758 0.758 Se
0.484 0.484 0.726 Se
0.484 0.726 0.484 Se
0.516 0.000 0.242 Se
0.516 0.242 0.000 Se
0.726 0.484 0.484 Se
0.758 0.274 0.758 Se
0.758 0.758 0.274 Se

ZnPdPtAu | the Alexandria database | PBE | relaxed; space group = P4mm (99); final energy = -4.26 eV per atom; DOS(E_F) = 0.484 states/eV/atom; energy of formation = -121 kJ/mol of formula units
1.0
2.920 0.000 0.000
0.000 2.920 0.000
0.000 0.000 7.326
Zn Pd Pt Au
1 1 1 1
direct
0.000 0.000 0.000 Zn
0.500 0.500 0.223 Pd
0.500 0.500 0.774 Pt
0.000 0.000 0.495 Au

Sr2Pd2Ru | the Alexandria database | PBE | relaxed; space group = I4/mmm (139); final energy = -4.41 eV per atom; DOS(E_F) = 1.313 states/eV/atom; excess energy over the best structure of this formula in the dataset = 252 meV per atom; energy of formation = 93 kJ/mol of formula units
1.0
-1.847 1.847 9.044
1.847 -1.847 9.044
1.847 1.847 -9.044
Sr Pd Ru
2 2 1
direct
0.105 0.105 0.000 Sr
0.895 0.895 0.000 Sr
0.250 0.750 0.500 Pd
0.750 0.250 0.500 Pd
0.500 0.500 0.000 Ru

MgZr2Se2 | the Alexandria database | PBE | relaxed; E_form (uncorrected) = -481 meV/atom; space group = I4/mmm (139); final energy = -5.61 eV per atom; DOS(E_F) = 0.966 states/eV/atom; excess energy over the best structure of this formula in the dataset = 302 meV per atom
1.0
-2.389 2.389 5.558
2.389 -2.389 5.558
2.389 2.389 -5.558
Mg Zr Se
1 2 2
direct
0.000 0.000 0.000 Mg
0.366 0.366 0.000 Zr
0.634 0.634 0.000 Zr
0.250 0.750 0.500 Se
0.750 0.250 0.500 Se